1.
BaAlCu2 | PBEsol | optimized geometry

POSCAR file:
```
BaAlCu2
1.0
3.992 0.000 0.000
0.000 1.770 6.146
0.000 -1.770 6.146
Ba Al Cu
1 1 2
direct
0.000 0.000 0.000
0.500 0.718 0.718
0.000 0.250 0.250
0.500 0.356 0.356
```

***

2.
BaAlCu | PBEsol | optimized geometry

POSCAR file:
```
BaAlCu
1.0
-1.682 1.682 6.070
1.682 -1.682 6.070
1.682 1.682 -6.070
Ba Al Cu
1 1 1
direct
0.000 0.000 0.000
0.719 0.719 0.000
0.293 0.293 0.000
```

***

3.
Ba3Al2Cu2F16, optimized geometry, DFT PBEsol; raw formation energy = -3.19 eV per atom
1.0
7.341 0.000 0.000
0.000 5.291 0.000
-1.833 0.000 15.810
Ba Al Cu F
6 4 4 32
direct
0.164 0.000 0.115
0.252 0.928 0.530
0.311 0.983 0.817
0.689 0.483 0.183
0.748 0.428 0.470
0.836 0.500 0.885
0.081 0.419 0.659
0.329 0.475 0.976
0.671 0.975 0.024
0.919 0.919 0.341
0.216 0.451 0.305
0.435 0.928 0.329
0.565 0.428 0.671
0.784 0.951 0.695
0.036 0.613 0.367
0.051 0.368 0.210
0.056 0.366 0.768
0.103 0.440 0.546
0.138 0.075 0.363
0.142 0.263 0.947
0.183 0.744 0.957
0.211 0.702 0.678
0.291 0.232 0.671
0.302 0.461 0.085
0.369 0.745 0.230
0.392 0.607 0.389
0.399 0.489 0.872
0.404 0.238 0.263
0.469 0.178 0.991
0.499 0.082 0.433
0.501 0.582 0.567
0.531 0.678 0.009
0.596 0.738 0.737
0.601 0.989 0.128
0.608 0.107 0.611
0.631 0.245 0.770
0.698 0.961 0.915
0.709 0.732 0.329
0.789 0.202 0.322
0.817 0.244 0.043
0.858 0.763 0.053
0.862 0.575 0.637
0.897 0.940 0.454
0.944 0.866 0.232
0.949 0.868 0.790
0.964 0.113 0.633

***

4.
Ba2AlCu2F11, optimized geometry, DFT PBEsol; raw formation energy = -2.94 eV per atom
1.0
7.286 0.000 0.000
-3.643 6.310 0.000
0.000 0.000 14.000
Ba Al Cu F
6 3 6 33
direct
0.011 0.171 0.000
0.160 0.989 0.333
0.525 0.206 0.802
0.681 0.475 0.136
0.794 0.319 0.469
0.829 0.840 0.667
0.162 0.504 0.265
0.342 0.838 0.598
0.496 0.658 0.932
0.102 0.460 0.747
0.328 0.315 0.579
0.358 0.898 0.081
0.540 0.642 0.414
0.685 0.013 0.246
0.987 0.672 0.913
0.001 0.246 0.319
0.037 0.400 0.153
0.043 0.175 0.541
0.072 0.741 0.045
0.075 0.624 0.583
0.133 0.957 0.874
0.223 0.544 0.895
0.244 0.999 0.653
0.259 0.331 0.711
0.260 0.595 0.387
0.300 0.114 0.117
0.322 0.777 0.228
0.334 0.740 0.721
0.362 0.963 0.486
0.376 0.451 0.249
0.405 0.666 0.054
0.423 0.347 0.447
0.431 0.386 0.959
0.456 0.678 0.562
0.549 0.925 0.916
0.577 0.189 0.288
0.600 0.638 0.820
0.612 0.423 0.621
0.614 0.045 0.626
0.653 0.076 0.113
0.669 0.928 0.378
0.754 0.756 0.986
0.811 0.388 0.955
0.814 0.700 0.451
0.825 0.867 0.208
0.886 0.186 0.784
0.924 0.577 0.780
0.955 0.569 0.293

***

5.
Ba2MnAl2CuF14, optimized geometry, DFT PBEsol; raw formation energy = -3.19 eV per atom
1.0
6.837 -2.582 0.000
6.837 2.582 0.000
-0.481 0.000 14.259
Ba Mn Al Cu F
4 2 4 2 28
direct
0.128 0.250 0.121
0.250 0.128 0.621
0.750 0.872 0.379
0.872 0.750 0.879
0.433 0.567 0.250
0.567 0.433 0.750
0.106 0.132 0.374
0.132 0.106 0.874
0.868 0.894 0.126
0.894 0.868 0.626
0.500 0.500 0.000
0.500 0.500 0.500
0.039 0.642 0.221
0.080 0.914 0.343
0.086 0.920 0.157
0.115 0.721 0.524
0.134 0.598 0.048
0.161 0.328 0.405
0.174 0.597 0.705
0.279 0.885 0.976
0.328 0.161 0.905
0.358 0.961 0.279
0.395 0.492 0.877
0.402 0.866 0.452
0.403 0.826 0.795
0.492 0.395 0.377
0.508 0.605 0.623
0.597 0.174 0.205
0.598 0.134 0.548
0.605 0.508 0.123
0.642 0.039 0.721
0.672 0.839 0.095
0.721 0.115 0.024
0.826 0.403 0.295
0.839 0.672 0.595
0.866 0.402 0.952
0.885 0.279 0.476
0.914 0.080 0.843
0.920 0.086 0.657
0.961 0.358 0.779

***

6.
K2BaAlCu | PBEsol | optimized geometry

POSCAR file:
```
K2BaAlCu
1.0
7.249 0.000 0.000
0.000 7.249 0.000
0.000 0.000 5.803
K Ba Al Cu
2 1 1 1
direct
0.000 0.500 0.000
0.500 0.000 0.000
0.000 0.000 0.000
0.000 0.000 0.500
0.500 0.500 0.500
```

***

7.
Ba6Sm3AlCu8O20, optimized geometry, DFT PBEsol; raw formation energy = -1.96 eV per atom
1.0
5.467 0.000 0.000
2.530 8.190 0.000
2.665 2.726 11.779
Ba Sm Al Cu O
6 3 1 8 20
direct
0.063 0.063 0.310
0.260 0.267 0.692
0.387 0.395 0.309
0.613 0.605 0.691
0.740 0.733 0.308
0.937 0.937 0.690
0.166 0.166 0.001
0.500 0.500 0.000
0.834 0.834 0.999
0.500 0.000 0.500
0.050 0.547 0.858
0.138 0.686 0.500
0.288 0.786 0.141
0.381 0.881 0.858
0.619 0.119 0.142
0.712 0.214 0.859
0.862 0.314 0.500
0.950 0.453 0.142
0.041 0.043 0.873
0.125 0.625 0.125
0.145 0.608 0.652
0.194 0.162 0.500
0.209 0.708 0.876
0.246 0.710 0.348
0.289 0.292 0.128
0.375 0.374 0.875
0.449 0.949 0.653
0.459 0.959 0.124
0.541 0.041 0.876
0.551 0.051 0.347
0.625 0.626 0.125
0.711 0.708 0.872
0.754 0.290 0.652
0.791 0.292 0.124
0.806 0.838 0.500
0.855 0.392 0.348
0.875 0.375 0.875
0.959 0.957 0.127

***

8.
Ba6Dy2Al4O15, optimized geometry, DFT PBEsol; raw formation energy = -3.02 eV per atom; distance to the lowest polymorph of the same formula = 40 meV/atom
1.0
14.656 0.000 0.000
0.000 2.945 5.068
0.000 -2.945 5.068
Ba Dy Al O
6 2 4 15
direct
0.000 0.000 0.000
0.154 0.316 0.316
0.327 0.630 0.630
0.500 0.941 0.941
0.673 0.630 0.630
0.846 0.316 0.316
0.250 0.970 0.970
0.750 0.970 0.970
0.112 0.648 0.648
0.387 0.296 0.296
0.613 0.296 0.296
0.888 0.648 0.648
0.000 0.245 0.245
0.000 0.589 0.589
0.143 0.816 0.816
0.174 0.344 0.812
0.174 0.812 0.344
0.337 0.113 0.610
0.337 0.610 0.113
0.372 0.123 0.123
0.500 0.358 0.358
0.628 0.123 0.123
0.663 0.113 0.610
0.663 0.610 0.113
0.826 0.344 0.812
0.826 0.812 0.344
0.857 0.816 0.816

***

no.,ρ (g cm⁻³),uncorrected energy (eV per atom)
1,5.57,-3.6595
2,5.51,-3.4859
3,4.85,-5.5465
4,4.94,-5.3339
5,4.70,-5.8700
6,1.67,-1.3101
7,6.71,-6.4843
8,5.68,-7.3882